--- A ---
# Li2MnMo

Crystalline Li2MnMo at its relaxed geometry (PBE, Alexandria).

Space-group type: Pmmm (47)
Total moment: 0.00 μB/cell

abc: 2.4409 4.5992 4.8064
angles: 90.00 90.00 90.00
Closest atoms and distances in Å follow each position.
Atoms (fractional coordinates):
Li 0.0000 0.0000 0.0090  4 Li 2.32-2.49
Li 0.0000 0.0000 0.4910  4 Li 2.32-2.49
Mo 0.5000 0.5000 0.7500  2 Mn 2.40, 2 Mo 2.44
Mn 0.5000 0.5000 0.2500  2 Mo 2.40, 2 Mn 2.44

=====

--- B ---
# Li2MnMo

Crystalline Li2MnMo at its relaxed geometry (PBE, Alexandria).

Space-group type: P4/mmm (123)
Total moment: 3.16 μB/cell

abc: 4.6895 4.6895 2.5879
angles: 90.00 90.00 90.00
Closest atoms and distances in Å follow each position.
Atoms (fractional coordinates):
Mn 0.5000 0.0000 0.5000  2 Mn 2.59, 8 Li 2.68
Li 0.5000 0.5000 0.0000  2 Li 2.59, 4 Mn 2.68, 4 Mo 2.68
Li 0.0000 0.0000 0.0000  2 Li 2.59, 4 Mn 2.68, 4 Mo 2.68
Mo 0.0000 0.5000 0.5000  2 Mo 2.59, 8 Li 2.68

=====

--- C ---
# Li2MnMo

Crystalline Li2MnMo at its relaxed geometry (PBE, Alexandria).

Space-group type: Cmm2 (35)
Total moment: 1.73 μB/cell

abc: 2.6478 2.6478 9.1895
angles: 90.00 90.00 110.45
Closest atoms and distances in Å follow each position.
Atoms (fractional coordinates):
Li 0.0000 0.0000 0.9908  4 Li 2.65, 2 Mo 2.84
Li 0.5000 0.5000 0.2703  4 Li 2.65, 2 Mn 2.67
Mn 0.0000 0.0000 0.5097  2 Mo 2.52, 4 Mn 2.65, 2 Li 2.67
Mo 0.5000 0.5000 0.7292  2 Mn 2.52, 4 Mo 2.65

=====

Computed relative energies in units of meV per atom: A 151; B 421; C 0